1.
# BeReRu, relaxed, DFT GGA-PBE
data_BeReRu
_chemical_formula_sum 'Be2 Re2 Ru2'
_cell_length_a 2.8324
_cell_length_b 2.8324
_cell_length_c 9.1550
_cell_angle_alpha 90.00
_cell_angle_beta 90.00
_cell_angle_gamma 90.00
_space_group_name_H-M_alt 'P 1'
_space_group_IT_number 1
loop_
_space_group_symop_operation_xyz
'x,y,z'
loop_
_atom_site_label
_atom_site_fract_x
_atom_site_fract_y
_atom_site_fract_z
Be1 0.0000 0.0000 0.0000
Be2 0.5000 0.5000 0.5000
Re1 0.0000 0.0000 0.6659
Re2 0.5000 0.5000 0.1659
Ru1 0.0000 0.0000 0.3520
Ru2 0.5000 0.5000 0.8520
# ΔE_f, kJ/mol of atoms: -21
# Energy above the lowest structure with this stoichiometry, meV/atom: 0
# M_tot, μB/cell: 0.00
# VASP energy, eV/atom: -8.698


2.
# Lu3Cd, relaxed, DFT GGA-PBE
data_Lu3Cd
_chemical_formula_sum 'Lu12 Cd4'
_cell_length_a 7.5502
_cell_length_b 7.5502
_cell_length_c 7.5502
_cell_angle_alpha 90.00
_cell_angle_beta 90.00
_cell_angle_gamma 90.00
_space_group_name_H-M_alt 'P 1'
_space_group_IT_number 1
loop_
_space_group_symop_operation_xyz
'x,y,z'
loop_
_atom_site_label
_atom_site_fract_x
_atom_site_fract_y
_atom_site_fract_z
Lu1 0.0000 0.0000 0.0000
Lu2 0.0000 0.5000 0.5000
Lu3 0.2500 0.2500 0.2500
Lu4 0.2500 0.2500 0.7500
Lu5 0.2500 0.7500 0.2500
Lu6 0.2500 0.7500 0.7500
Lu7 0.5000 0.0000 0.5000
Lu8 0.5000 0.5000 0.0000
Lu9 0.7500 0.2500 0.2500
Lu10 0.7500 0.2500 0.7500
Lu11 0.7500 0.7500 0.2500
Lu12 0.7500 0.7500 0.7500
Cd1 0.0000 0.0000 0.5000
Cd2 0.0000 0.5000 0.0000
Cd3 0.5000 0.0000 0.0000
Cd4 0.5000 0.5000 0.5000
# ΔE_f, kJ/mol of atoms: 0
# Energy above the lowest structure with this stoichiometry, meV/atom: 126
# M_tot, μB/cell: 0.00
# VASP energy, eV/atom: -3.625


3.
# In16Sn12Hg, relaxed, DFT GGA-PBE
data_In16Sn12Hg
_chemical_formula_sum 'In16 Sn12 Hg1'
_cell_length_a 10.2508
_cell_length_b 10.2508
_cell_length_c 9.8732
_cell_angle_alpha 108.36
_cell_angle_beta 108.36
_cell_angle_gamma 109.97
_space_group_name_H-M_alt 'P 1'
_space_group_IT_number 1
loop_
_space_group_symop_operation_xyz
'x,y,z'
loop_
_atom_site_label
_atom_site_fract_x
_atom_site_fract_y
_atom_site_fract_z
In1 0.0000 0.0000 0.0000
In2 0.0011 0.0011 0.6438
In3 0.0047 0.3416 0.6434
In4 0.0120 0.3123 0.2429
In5 0.0123 0.5942 0.9537
In6 0.2818 0.6982 0.3426
In7 0.3109 0.6059 0.6592
In8 0.3123 0.0120 0.2429
In9 0.3416 0.0047 0.6434
In10 0.4084 0.7406 0.0544
In11 0.4140 0.4140 0.3783
In12 0.5942 0.0123 0.9537
In13 0.6059 0.3109 0.6592
In14 0.6528 0.6528 0.2898
In15 0.6982 0.2818 0.3426
In16 0.7406 0.4084 0.0544
Sn1 0.0004 0.8075 0.2634
Sn2 0.1874 0.8428 0.8394
Sn3 0.1950 0.1950 0.4765
Sn4 0.2098 0.4049 0.0414
Sn5 0.4049 0.2098 0.0414
Sn6 0.4128 0.4128 0.8506
Sn7 0.6108 0.9974 0.4482
Sn8 0.6179 0.8026 0.6427
Sn9 0.8026 0.6179 0.6427
Sn10 0.8075 0.0004 0.2634
Sn11 0.8428 0.1874 0.8394
Sn12 0.9974 0.6108 0.4482
Hg1 0.7029 0.7029 0.9312
# ΔE_f, kJ/mol of atoms: 4
# M_tot, μB/cell: 0.00
# VASP energy, eV/atom: -3.140